# 1
Computed, not measured: crystalline CeZn3Pd at its relaxed geometry at the PBE level of DFT. Values from VASP.

Computed properties:
DOS at the Fermi energy = 17.72 states/eV per cell
formation enthalpy at 0 K = -42 kJ/mol of formula units

Structure (Quantum ESPRESSO input):
```
&SYSTEM
  ibrav = 0, nat = 10, ntyp = 3
/
ATOMIC_SPECIES
Ce 140.12 Ce.upf
Zn 65.41 Zn.upf
Pd 106.42 Pd.upf
CELL_PARAMETERS angstrom
-2.8640 1.0305 -4.2163
-2.5618 -4.4791 0.6455
-3.0560 5.7296 6.6829
ATOMIC_POSITIONS crystal
Ce 0.5754 0.0754 0.1508
Ce 0.9246 0.4246 0.8492
Zn 0.6125 0.8751 0.7502
Zn 0.1249 0.8623 0.2498
Zn 0.1249 0.3875 0.2498
Zn 0.1377 0.8751 0.7502
Zn 0.2778 0.2778 0.5555
Zn 0.7222 0.7222 0.4445
Pd 0.0000 0.0000 0.0000
Pd 0.2500 0.7500 0.5000
```

# 2
Computed, not measured: crystalline Ce2Zn3Pd at its relaxed geometry at the PBE level of DFT. Values from VASP.

Computed properties:
DOS at the Fermi energy = 9.78 states/eV per cell
formation enthalpy at 0 K = -256 kJ/mol of formula units
offset from the most stable computed form = 3 meV/atom

Structure (Quantum ESPRESSO input):
```
&SYSTEM
  ibrav = 0, nat = 6, ntyp = 3
/
ATOMIC_SPECIES
Ce 140.12 Ce.upf
Zn 65.41 Zn.upf
Pd 106.42 Pd.upf
CELL_PARAMETERS angstrom
-2.6912 -0.4409 -1.9794
-1.3460 -3.5261 2.6154
-4.1872 4.9956 4.5803
ATOMIC_POSITIONS crystal
Ce 0.0000 0.5000 0.0113
Ce 0.0000 0.0000 0.4894
Zn 0.5000 0.0000 0.8309
Zn 0.5000 0.0000 0.1613
Zn 0.5000 0.5000 0.6712
Pd 0.5000 0.5000 0.3361
```

# 3
Computed, not measured: crystalline Ce3Zn7Pd4 at its relaxed geometry at the PBE level of DFT. Values from VASP.

Computed properties:
DOS at the Fermi energy = 19.19 states/eV per cell
formation enthalpy at 0 K = -717 kJ/mol of formula units

Structure (Quantum ESPRESSO input):
```
&SYSTEM
  ibrav = 0, nat = 14, ntyp = 3
/
ATOMIC_SPECIES
Ce 140.12 Ce.upf
Zn 65.41 Zn.upf
Pd 106.42 Pd.upf
CELL_PARAMETERS angstrom
4.2538 0.0000 1.0731
1.5673 7.3481 2.7549
0.1291 0.1196 8.4556
ATOMIC_POSITIONS crystal
Ce 0.2992 0.2009 0.2007
Ce 0.7008 0.7991 0.7993
Ce 0.0000 0.5000 0.5000
Zn 0.3239 0.8362 0.5160
Zn 0.4967 0.1987 0.8080
Zn 0.8623 0.3576 0.9178
Zn 0.6761 0.1638 0.4840
Zn 0.1377 0.6424 0.0822
Zn 0.0000 0.0000 0.0000
Zn 0.5033 0.8013 0.1920
Pd 0.6622 0.4589 0.2166
Pd 0.3378 0.5411 0.7834
Pd 0.8854 0.8955 0.3338
Pd 0.1146 0.1045 0.6662
```

# 4
Computed, not measured: crystalline Ce2Zn3Pd at its relaxed geometry at the PBE level of DFT. Values from VASP.

Computed properties:
DOS at the Fermi energy = 17.90 states/eV per cell
formation enthalpy at 0 K = -258 kJ/mol of formula units
offset from the most stable computed form = 0 meV/atom

Structure (Quantum ESPRESSO input):
```
&SYSTEM
  ibrav = 0, nat = 12, ntyp = 3
/
ATOMIC_SPECIES
Ce 140.12 Ce.upf
Zn 65.41 Zn.upf
Pd 106.42 Pd.upf
CELL_PARAMETERS angstrom
-2.3070 1.8482 4.8281
3.4635 -1.2575 4.2979
3.1251 6.7435 -5.4880
ATOMIC_POSITIONS crystal
Ce 0.7500 0.2500 0.5000
Ce 0.7229 0.2771 0.0000
Ce 0.2500 0.7500 0.5000
Ce 0.2771 0.7229 0.0000
Zn 0.8387 0.8387 0.1649
Zn 0.6738 0.6738 0.8351
Zn 0.1613 0.1613 0.8351
Zn 0.3262 0.3262 0.1649
Zn 0.1635 0.1635 0.3269
Zn 0.8365 0.8365 0.6731
Pd 0.6691 0.6691 0.3382
Pd 0.3309 0.3309 0.6618
```

# 5
Computed, not measured: crystalline CeZnPd6 at its relaxed geometry at the PBE level of DFT. Values from VASP.

Computed properties:
DOS at the Fermi energy = 6.44 states/eV per cell
formation enthalpy at 0 K = -453 kJ/mol of formula units
offset from the most stable computed form = 0 meV/atom

Structure (Quantum ESPRESSO input):
```
&SYSTEM
  ibrav = 0, nat = 8, ntyp = 3
/
ATOMIC_SPECIES
Ce 140.12 Ce.upf
Zn 65.41 Zn.upf
Pd 106.42 Pd.upf
CELL_PARAMETERS angstrom
4.1162 0.0000 0.0000
0.0000 4.1162 0.0000
0.0000 0.0000 7.7890
ATOMIC_POSITIONS crystal
Ce 0.0000 0.0000 0.0000
Zn 0.0000 0.0000 0.5000
Pd 0.5000 0.5000 0.0000
Pd 0.5000 0.5000 0.5000
Pd 0.5000 0.0000 0.2626
Pd 0.5000 0.0000 0.7374
Pd 0.0000 0.5000 0.2626
Pd 0.0000 0.5000 0.7374
```

# 6
Computed, not measured: crystalline CeZn2Pd7 at its relaxed geometry at the PBE level of DFT. Values from VASP.

Computed properties:
DOS at the Fermi energy = 5.41 states/eV per cell
formation enthalpy at 0 K = -154 kJ/mol of formula units

Structure (Quantum ESPRESSO input):
```
&SYSTEM
  ibrav = 0, nat = 10, ntyp = 3
/
ATOMIC_SPECIES
Ce 140.12 Ce.upf
Zn 65.41 Zn.upf
Pd 106.42 Pd.upf
CELL_PARAMETERS angstrom
-2.0172 3.9368 0.9720
-5.8315 -2.1019 -3.5893
0.4392 -1.5008 6.9902
ATOMIC_POSITIONS crystal
Ce 0.0000 0.0000 0.0000
Zn 0.5000 0.7009 0.2991
Zn 0.5000 0.2991 0.7009
Pd 0.0000 0.7889 0.2111
Pd 0.0000 0.2111 0.7889
Pd 0.5000 0.0705 0.3038
Pd 0.5000 0.9295 0.6962
Pd 0.5000 0.3038 0.0705
Pd 0.5000 0.6962 0.9295
Pd 0.5000 0.5000 0.5000
```

# 7
Computed, not measured: crystalline Ce2ZnPd6 at its relaxed geometry at the PBE level of DFT. Values from VASP.

Computed properties:
DOS at the Fermi energy = 11.65 states/eV per cell
formation enthalpy at 0 K = -609 kJ/mol of formula units

Structure (Quantum ESPRESSO input):
```
&SYSTEM
  ibrav = 0, nat = 9, ntyp = 3
/
ATOMIC_SPECIES
Ce 140.12 Ce.upf
Zn 65.41 Zn.upf
Pd 106.42 Pd.upf
CELL_PARAMETERS angstrom
-2.0864 2.1681 5.0647
4.4066 -2.3584 2.8245
4.8595 2.9680 0.7310
ATOMIC_POSITIONS crystal
Ce 0.7973 0.6667 0.6667
Ce 0.2027 0.3333 0.3333
Zn 0.0000 0.0000 0.0000
Pd 0.3109 0.3457 0.8272
Pd 0.3109 0.8272 0.8272
Pd 0.3109 0.8272 0.3457
Pd 0.6891 0.6543 0.1728
Pd 0.6891 0.1728 0.1728
Pd 0.6891 0.1728 0.6543
```

# 8
Computed, not measured: crystalline CeZnPd at its relaxed geometry at the PBE level of DFT. Values from VASP.

Computed properties:
DOS at the Fermi energy = 4.72 states/eV per cell
formation enthalpy at 0 K = -169 kJ/mol of formula units
offset from the most stable computed form = 46 meV/atom

Structure (Quantum ESPRESSO input):
```
&SYSTEM
  ibrav = 0, nat = 3, ntyp = 3
/
ATOMIC_SPECIES
Zn 65.41 Zn.upf
Pd 106.42 Pd.upf
Ce 140.12 Ce.upf
CELL_PARAMETERS angstrom
-0.4130 1.6009 3.0580
1.1719 -3.8143 2.1552
3.1794 3.0217 -1.1526
ATOMIC_POSITIONS crystal
Zn 0.1667 0.0000 0.0000
Pd 0.1666 0.3333 0.6667
Ce 0.6667 0.6667 0.3333
```

# 9
Computed, not measured: crystalline Ce3Zn2Pd3 at its relaxed geometry at the PBE level of DFT. Values from VASP.

Computed properties:
DOS at the Fermi energy = 32.91 states/eV per cell
formation enthalpy at 0 K = -462 kJ/mol of formula units

Structure (Quantum ESPRESSO input):
```
&SYSTEM
  ibrav = 0, nat = 16, ntyp = 3
/
ATOMIC_SPECIES
Ce 140.12 Ce.upf
Zn 65.41 Zn.upf
Pd 106.42 Pd.upf
CELL_PARAMETERS angstrom
-2.5430 -1.3269 3.1164
1.6574 -4.8569 -3.5936
11.0942 -2.2147 8.1099
ATOMIC_POSITIONS crystal
Ce 0.9235 0.8470 0.3894
Ce 0.0765 0.1530 0.8894
Ce 0.9235 0.8470 0.1106
Ce 0.0765 0.1530 0.6106
Ce 0.6505 0.3009 0.2500
Ce 0.3495 0.6991 0.7500
Zn 0.7759 0.5517 0.9179
Zn 0.2241 0.4483 0.4179
Zn 0.7759 0.5517 0.5821
Zn 0.2241 0.4483 0.0821
Pd 0.6034 0.2067 0.4526
Pd 0.3966 0.7933 0.9526
Pd 0.6034 0.2067 0.0474
Pd 0.3966 0.7933 0.5474
Pd 0.3415 0.6831 0.2500
Pd 0.6585 0.3169 0.7500
```

# 10
Computed, not measured: crystalline Ce2ZnPd at its relaxed geometry at the PBE level of DFT. Values from VASP.

Computed properties:
DOS at the Fermi energy = 6.95 states/eV per cell
formation enthalpy at 0 K = -152 kJ/mol of formula units
offset from the most stable computed form = 32 meV/atom

Structure (Quantum ESPRESSO input):
```
&SYSTEM
  ibrav = 0, nat = 4, ntyp = 3
/
ATOMIC_SPECIES
Zn 65.41 Zn.upf
Pd 106.42 Pd.upf
Ce 140.12 Ce.upf
CELL_PARAMETERS angstrom
4.3587 0.0000 0.0000
0.0000 4.4309 0.0000
0.0000 0.0000 4.4309
ATOMIC_POSITIONS crystal
Zn 0.5000 0.0000 0.0000
Pd 0.5000 0.5000 0.5000
Ce 0.0000 0.0000 0.5000
Ce 0.0000 0.5000 0.0000
```

# 11
Computed, not measured: crystalline Ce2Zn5Pd5 at its relaxed geometry at the PBE level of DFT. Values from VASP.

Computed properties:
DOS at the Fermi energy = 16.73 states/eV per cell
formation enthalpy at 0 K = -681 kJ/mol of formula units

Structure (Quantum ESPRESSO input):
```
&SYSTEM
  ibrav = 0, nat = 12, ntyp = 3
/
ATOMIC_SPECIES
Ce 140.12 Ce.upf
Zn 65.41 Zn.upf
Pd 106.42 Pd.upf
CELL_PARAMETERS angstrom
4.3978 0.0000 0.0000
0.0000 5.2932 0.0000
0.0000 0.0000 9.2716
ATOMIC_POSITIONS crystal
Ce 0.0000 0.5000 0.0000
Ce 0.0000 0.0000 0.5000
Zn 0.5000 0.5000 0.5000
Zn 0.5000 0.7502 0.2494
Zn 0.5000 0.2498 0.7506
Zn 0.5000 0.2498 0.2494
Zn 0.5000 0.7502 0.7506
Pd 0.0000 0.5000 0.3334
Pd 0.0000 0.0000 0.8191
Pd 0.0000 0.0000 0.1809
Pd 0.0000 0.5000 0.6666
Pd 0.5000 0.0000 0.0000
```